1.
Material: GdMgTe3Au
Method: DFT, PBE
State: relaxed

```
GdMgTe3Au
1.0
13.456 0.000 0.000
0.000 4.141 0.000
0.000 0.000 12.373
Gd Mg Te Au
4 4 12 4
direct
0.066 0.250 0.185 Gd
0.434 0.750 0.685 Gd
0.566 0.250 0.315 Gd
0.934 0.750 0.815 Gd
0.224 0.250 0.464 Mg
0.276 0.750 0.964 Mg
0.724 0.250 0.036 Mg
0.776 0.750 0.536 Mg
0.055 0.750 0.370 Te
0.082 0.250 0.922 Te
0.210 0.750 0.641 Te
0.290 0.250 0.141 Te
0.418 0.750 0.422 Te
0.445 0.250 0.870 Te
0.555 0.750 0.130 Te
0.582 0.250 0.578 Te
0.710 0.750 0.859 Te
0.790 0.250 0.359 Te
0.918 0.750 0.078 Te
0.945 0.250 0.630 Te
0.247 0.750 0.306 Au
0.253 0.250 0.806 Au
0.747 0.750 0.194 Au
0.753 0.250 0.694 Au
```

Symmetry: Pnma


2.
Material: AsAuBr6
Method: DFT, PBE
State: relaxed

```
AsAuBr6
1.0
0.000 4.995 4.995
4.995 0.000 4.995
4.995 4.995 0.000
As Au Br
1 1 6
direct
0.000 0.000 0.000 As
0.250 0.250 0.250 Au
0.250 0.250 0.750 Br
0.250 0.750 0.250 Br
0.250 0.750 0.750 Br
0.750 0.250 0.250 Br
0.750 0.250 0.750 Br
0.750 0.750 0.250 Br
```

Symmetry: F-43m


3.
Material: SmNiBi
Method: DFT, PBE
State: relaxed

```
SmNiBi
1.0
7.310 0.000 0.000
-3.655 6.331 0.000
0.000 0.000 4.493
Sm Ni Bi
3 3 3
direct
0.000 0.574 0.000 Sm
0.426 0.426 0.000 Sm
0.574 0.000 0.000 Sm
0.000 0.246 0.500 Ni
0.246 0.000 0.500 Ni
0.754 0.754 0.500 Ni
0.000 0.000 0.000 Bi
0.333 0.667 0.500 Bi
0.667 0.333 0.500 Bi
```

Symmetry: P-62m


4.
Material: KHoGeS3
Method: DFT, PBE
State: relaxed

```
KHoGeS3
1.0
1.955 -7.652 0.000
1.955 7.652 0.000
0.000 0.000 11.115
K Ho Ge S
2 2 2 6
direct
0.190 0.810 0.750 K
0.810 0.190 0.250 K
0.500 0.500 0.000 Ho
0.500 0.500 0.500 Ho
0.110 0.890 0.250 Ge
0.890 0.110 0.750 Ge
0.120 0.880 0.014 S
0.120 0.880 0.486 S
0.494 0.506 0.750 S
0.506 0.494 0.250 S
0.880 0.120 0.514 S
0.880 0.120 0.986 S
```

Symmetry: Cmcm


5.
Material: CuB2W2
Method: DFT, PBE
State: relaxed

```
CuB2W2
1.0
3.083 0.000 0.000
0.000 11.035 0.000
0.000 0.000 3.185
Cu B W
2 4 4
direct
0.000 0.000 0.000 Cu
0.500 0.500 0.000 Cu
0.000 0.205 0.000 B
0.000 0.795 0.000 B
0.500 0.295 0.000 B
0.500 0.705 0.000 B
0.000 0.360 0.500 W
0.000 0.640 0.500 W
0.500 0.140 0.500 W
0.500 0.860 0.500 W
```

Symmetry: Cmmm


6.
Material: Sm3Ta3W2N12
Method: DFT, PBE
State: relaxed

```
Sm3Ta3W2N12
1.0
-6.463 6.463 6.463
6.463 -6.463 6.463
6.463 6.463 -6.463
Sm Ta W N
12 12 8 48
direct
0.125 0.250 0.375 Sm
0.125 0.375 0.750 Sm
0.250 0.375 0.125 Sm
0.250 0.875 0.625 Sm
0.375 0.125 0.250 Sm
0.375 0.750 0.125 Sm
0.625 0.250 0.875 Sm
0.625 0.875 0.750 Sm
0.750 0.125 0.375 Sm
0.750 0.625 0.875 Sm
0.875 0.625 0.250 Sm
0.875 0.750 0.625 Sm
0.125 0.750 0.875 Ta
0.125 0.875 0.250 Ta
0.250 0.125 0.875 Ta
0.250 0.625 0.375 Ta
0.375 0.250 0.625 Ta
0.375 0.625 0.750 Ta
0.625 0.375 0.250 Ta
0.625 0.750 0.375 Ta
0.750 0.375 0.625 Ta
0.750 0.875 0.125 Ta
0.875 0.125 0.750 Ta
0.875 0.250 0.125 Ta
0.000 0.000 0.000 W
0.000 0.000 0.500 W
0.000 0.500 0.000 W
0.000 0.500 0.500 W
0.500 0.000 0.000 W
0.500 0.000 0.500 W
0.500 0.500 0.000 W
0.500 0.500 0.500 W
0.021 0.197 0.115 N
0.021 0.324 0.905 N
0.081 0.697 0.676 N
0.081 0.885 0.405 N
0.095 0.615 0.419 N
0.095 0.979 0.676 N
0.115 0.021 0.197 N
0.115 0.595 0.919 N
0.176 0.197 0.581 N
0.176 0.479 0.595 N
0.197 0.115 0.021 N
0.197 0.581 0.176 N
0.303 0.324 0.919 N
0.303 0.479 0.385 N
0.324 0.905 0.021 N
0.324 0.919 0.303 N
0.385 0.303 0.479 N
0.385 0.581 0.905 N
0.405 0.081 0.885 N
0.405 0.824 0.521 N
0.419 0.095 0.615 N
0.419 0.824 0.803 N
0.479 0.385 0.303 N
0.479 0.595 0.176 N
0.521 0.405 0.824 N
0.521 0.615 0.697 N
0.581 0.176 0.197 N
0.581 0.905 0.385 N
0.595 0.176 0.479 N
0.595 0.919 0.115 N
0.615 0.419 0.095 N
0.615 0.697 0.521 N
0.676 0.081 0.697 N
0.676 0.095 0.979 N
0.697 0.521 0.615 N
0.697 0.676 0.081 N
0.803 0.419 0.824 N
0.803 0.885 0.979 N
0.824 0.521 0.405 N
0.824 0.803 0.419 N
0.885 0.405 0.081 N
0.885 0.979 0.803 N
0.905 0.021 0.324 N
0.905 0.385 0.581 N
0.919 0.115 0.595 N
0.919 0.303 0.324 N
0.979 0.676 0.095 N
0.979 0.803 0.885 N
```

Symmetry: Ia-3d


7.
Material: RbTmGeSe3
Method: DFT, PBE
State: relaxed

```
RbTmGeSe3
1.0
16.098 0.000 0.000
0.000 4.041 0.000
0.000 0.000 11.600
Rb Tm Ge Se
4 4 4 12
direct
0.229 0.250 0.070 Rb
0.271 0.750 0.570 Rb
0.729 0.250 0.430 Rb
0.771 0.750 0.930 Rb
0.008 0.750 0.648 Tm
0.492 0.250 0.148 Tm
0.508 0.750 0.852 Tm
0.992 0.250 0.352 Tm
0.033 0.250 0.917 Ge
0.467 0.750 0.417 Ge
0.533 0.250 0.583 Ge
0.967 0.750 0.083 Ge
0.081 0.750 0.227 Se
0.101 0.250 0.539 Se
0.124 0.750 0.837 Se
0.376 0.250 0.337 Se
0.399 0.750 0.039 Se
0.419 0.250 0.727 Se
0.581 0.750 0.273 Se
0.601 0.250 0.961 Se
0.624 0.750 0.663 Se
0.876 0.250 0.163 Se
0.899 0.750 0.461 Se
0.919 0.250 0.773 Se
```

Symmetry: Pnma


8.
Material: Cu2Ag3
Method: DFT, PBE
State: relaxed

```
Cu2Ag3
1.0
1.971 -9.945 0.000
1.971 9.945 0.000
0.000 0.000 3.979
Cu Ag
4 6
direct
0.105 0.895 0.000 Cu
0.201 0.799 0.500 Cu
0.799 0.201 0.500 Cu
0.895 0.105 0.000 Cu
0.000 0.000 0.500 Ag
0.299 0.701 0.000 Ag
0.396 0.604 0.500 Ag
0.500 0.500 0.000 Ag
0.604 0.396 0.500 Ag
0.701 0.299 0.000 Ag
```

ΔE_f in kcal/mol of atoms: 2.18
Symmetry: Cmmm


no.,raw total energy (eV per atom)
1,-3.926
2,-2.086
3,-5.208
4,-4.970
5,-8.757
6,-9.762
7,-4.667
8,-3.087